Arrangement P

Density functional theory data (GGA-PBE) for crystalline MgSbIN2 at its relaxed geometry.

Values from the calculation:
**M_tot**: 2.71 μB/cell
**Density of states at the Fermi level**: 1.54 states/eV/f.u.
**Volume**: 22.1 Å³/atom

Geometry as POSCAR:
```
MgSbIN2
1.0
4.408 0.000 0.000
0.000 4.408 0.000
0.000 0.000 5.691
Mg Sb I N
1 1 1 2
Cartesian
0.000 0.000 0.000 Mg
2.204 2.204 2.845 Sb
0.000 0.000 2.845 I
0.000 2.204 0.000 N
2.204 0.000 0.000 N
```

=====

Arrangement Q

Density functional theory data (GGA-PBE) for crystalline MgSbIN2 at its relaxed geometry.

Values from the calculation:
**M_tot**: 0.29 μB/cell
**Density of states at the Fermi level**: 3.31 states/eV/f.u.
**Volume**: 22.7 Å³/atom

Geometry as POSCAR:
```
MgSbIN2
1.0
4.109 0.000 0.000
0.000 4.109 0.000
0.000 0.000 6.726
Mg Sb I N
1 1 1 2
Cartesian
0.000 0.000 0.000 Mg
2.054 2.054 3.363 Sb
2.054 2.054 0.000 I
0.000 2.054 3.363 N
2.054 0.000 3.363 N
```

=====

Computed stability ranking, most favorable first: arrangement Q, arrangement P

=====

Arrangement P

Density functional theory data (GGA-PBE) for crystalline MgScI2N at its relaxed geometry.

Values from the calculation:
**M_tot**: 0.39 μB/cell
**Density of states at the Fermi level**: 2.68 states/eV/f.u.
**Volume**: 27.7 Å³/atom

Geometry as POSCAR:
```
MgScI2N
1.0
5.945 0.000 0.000
0.000 5.945 0.000
0.000 0.000 3.919
Mg Sc I N
1 1 2 1
Cartesian
0.000 0.000 0.000 Mg
2.973 2.973 1.959 Sc
0.000 2.973 1.959 I
2.973 0.000 1.959 I
2.973 2.973 0.000 N
```

=====

Arrangement Q

Density functional theory data (GGA-PBE) for crystalline MgScI2N at its relaxed geometry.

Values from the calculation:
**M_tot**: 0.63 μB/cell
**Density of states at the Fermi level**: 5.05 states/eV/f.u.
**Volume**: 25.1 Å³/atom

Geometry as POSCAR:
```
MgScI2N
1.0
5.671 0.000 0.000
0.000 5.671 0.000
0.000 0.000 3.894
Mg Sc I N
1 1 2 1
Cartesian
0.000 0.000 0.000 Mg
2.836 2.836 1.947 Sc
0.000 2.836 0.000 I
2.836 0.000 0.000 I
0.000 0.000 1.947 N
```

=====

Computed stability ranking, most favorable first: arrangement P, arrangement Q

=====

Arrangement P

Density functional theory data (GGA-PBE) for crystalline MgSe2IN at its relaxed geometry.

Values from the calculation:
**M_tot**: 1.91 μB/cell
**Density of states at the Fermi level**: 4.00 states/eV/f.u.
**Volume**: 22.9 Å³/atom

Geometry as POSCAR:
```
MgSe2IN
1.0
5.306 0.000 0.000
0.000 5.306 0.000
0.000 0.000 4.066
Mg Se I N
1 2 1 1
Cartesian
0.000 0.000 0.000 Mg
0.000 2.653 0.000 Se
2.653 0.000 0.000 Se
2.653 2.653 2.033 I
0.000 0.000 2.033 N
```

=====

Arrangement Q

Density functional theory data (GGA-PBE) for crystalline MgSe2IN at its relaxed geometry.

Values from the calculation:
**M_tot**: 0.00 μB/cell
**Density of states at the Fermi level**: 3.19 states/eV/f.u.
**Volume**: 24.0 Å³/atom

Geometry as POSCAR:
```
MgSe2IN
1.0
5.501 0.000 0.000
0.000 5.501 0.000
0.000 0.000 3.957
Mg Se I N
1 2 1 1
Cartesian
0.000 0.000 0.000 Mg
0.000 2.750 1.979 Se
2.750 0.000 1.979 Se
2.750 2.750 1.979 I
2.750 2.750 0.000 N
```

=====

Computed stability ranking, most favorable first: arrangement P, arrangement Q

=====

Arrangement P

Density functional theory data (GGA-PBE) for crystalline SrMgIN2 at its relaxed geometry.

Values from the calculation:
**M_tot**: 3.01 μB/cell
**Density of states at the Fermi level**: 2.27 states/eV/f.u.
**Volume**: 21.9 Å³/atom

Geometry as POSCAR:
```
SrMgIN2
1.0
4.465 0.000 0.000
0.000 4.465 0.000
0.000 0.000 5.496
Sr Mg I N
1 1 1 2
Cartesian
0.000 0.000 0.000 Sr
2.233 2.233 2.748 Mg
2.233 2.233 0.000 I
0.000 2.233 2.748 N
2.233 0.000 2.748 N
```

=====

Arrangement Q

Density functional theory data (GGA-PBE) for crystalline SrMgIN2 at its relaxed geometry.

Values from the calculation:
**M_tot**: 3.81 μB/cell
**Density of states at the Fermi level**: 3.09 states/eV/f.u.
**Volume**: 31.2 Å³/atom

Geometry as POSCAR:
```
SrMgIN2
1.0
4.857 0.000 0.000
0.000 4.857 0.000
0.000 0.000 6.610
Sr Mg I N
1 1 1 2
Cartesian
0.000 0.000 0.000 Sr
2.429 2.429 3.305 Mg
0.000 0.000 3.305 I
0.000 2.429 0.000 N
2.429 0.000 0.000 N
```

=====

Computed stability ranking, most favorable first: arrangement P, arrangement Q

=====

Arrangement P

Density functional theory data (GGA-PBE) for crystalline MgTaIN2 at its relaxed geometry.

Values from the calculation:
**M_tot**: 0.00 μB/cell
**Density of states at the Fermi level**: 5.62 states/eV/f.u.
**Volume**: 16.9 Å³/atom

Geometry as POSCAR:
```
MgTaIN2
1.0
4.043 0.000 0.000
0.000 4.043 0.000
0.000 0.000 5.182
Mg Ta I N
1 1 1 2
Cartesian
0.000 0.000 0.000 Mg
2.021 2.021 2.591 Ta
0.000 0.000 2.591 I
0.000 2.021 0.000 N
2.021 0.000 0.000 N
```

=====

Arrangement Q

Density functional theory data (GGA-PBE) for crystalline MgTaIN2 at its relaxed geometry.

Values from the calculation:
**M_tot**: 0.11 μB/cell
**Density of states at the Fermi level**: 2.49 states/eV/f.u.
**Volume**: 19.4 Å³/atom

Geometry as POSCAR:
```
MgTaIN2
1.0
4.080 0.000 0.000
0.000 4.080 0.000
0.000 0.000 5.827
Mg Ta I N
1 1 1 2
Cartesian
0.000 0.000 0.000 Mg
2.040 2.040 2.913 Ta
2.040 2.040 0.000 I
0.000 2.040 2.913 N
2.040 0.000 2.913 N
```

=====

Computed stability ranking, most favorable first: arrangement Q, arrangement P

=====

Arrangement P

Density functional theory data (GGA-PBE) for crystalline MgTaI2N at its relaxed geometry.

Values from the calculation:
**M_tot**: 0.00 μB/cell
**Density of states at the Fermi level**: 1.18 states/eV/f.u.
**Volume**: 25.9 Å³/atom

Geometry as POSCAR:
```
MgTaI2N
1.0
5.727 0.000 0.000
0.000 5.727 0.000
0.000 0.000 3.942
Mg Ta I N
1 1 2 1
Cartesian
0.000 0.000 0.000 Mg
2.863 2.863 1.971 Ta
0.000 2.863 1.971 I
2.863 0.000 1.971 I
2.863 2.863 0.000 N
```

=====

Arrangement Q

Density functional theory data (GGA-PBE) for crystalline MgTaI2N at its relaxed geometry.

Values from the calculation:
**M_tot**: 0.00 μB/cell
**Density of states at the Fermi level**: 7.52 states/eV/f.u.
**Volume**: 23.0 Å³/atom

Geometry as POSCAR:
```
MgTaI2N
1.0
5.531 0.000 0.000
0.000 5.531 0.000
0.000 0.000 3.758
Mg Ta I N
1 1 2 1
Cartesian
0.000 0.000 0.000 Mg
2.765 2.765 1.879 Ta
0.000 2.765 0.000 I
2.765 0.000 0.000 I
0.000 0.000 1.879 N
```

=====

Computed stability ranking, most favorable first: arrangement P, arrangement Q

=====

Arrangement P

Density functional theory data (GGA-PBE) for crystalline MgTcI2N at its relaxed geometry.

Values from the calculation:
**M_tot**: 0.00 μB/cell
**Density of states at the Fermi level**: 3.34 states/eV/f.u.
**Volume**: 24.0 Å³/atom

Geometry as POSCAR:
```
MgTcI2N
1.0
5.631 0.000 0.000
0.000 5.631 0.000
0.000 0.000 3.780
Mg Tc I N
1 1 2 1
Cartesian
0.000 0.000 0.000 Mg
2.815 2.815 1.890 Tc
0.000 2.815 1.890 I
2.815 0.000 1.890 I
2.815 2.815 0.000 N
```

=====

Arrangement Q

Density functional theory data (GGA-PBE) for crystalline MgTcI2N at its relaxed geometry.

Values from the calculation:
**M_tot**: 6.11 μB/cell
**Density of states at the Fermi level**: 2.51 states/eV/f.u.
**Volume**: 26.6 Å³/atom

Geometry as POSCAR:
```
MgTcI2N
1.0
5.786 0.000 0.000
0.000 5.786 0.000
0.000 0.000 3.970
Mg Tc I N
1 1 2 1
Cartesian
0.000 0.000 0.000 Mg
2.893 2.893 1.985 Tc
0.000 2.893 0.000 I
2.893 0.000 0.000 I
0.000 0.000 1.985 N
```

=====

Computed stability ranking, most favorable first: arrangement P, arrangement Q

=====

Arrangement P

Density functional theory data (GGA-PBE) for crystalline MgTeIN2 at its relaxed geometry.

Values from the calculation:
**M_tot**: 0.00 μB/cell
**Density of states at the Fermi level**: 3.85 states/eV/f.u.
**Volume**: 25.0 Å³/atom

Geometry as POSCAR:
```
MgTeIN2
1.0
4.122 0.000 0.000
0.000 4.122 0.000
0.000 0.000 7.351
Mg Te I N
1 1 1 2
Cartesian
0.000 0.000 0.000 Mg
2.061 2.061 3.675 Te
2.061 2.061 0.000 I
0.000 2.061 3.675 N
2.061 0.000 3.675 N
```

=====

Arrangement Q

Density functional theory data (GGA-PBE) for crystalline MgTeIN2 at its relaxed geometry.

Values from the calculation:
**M_tot**: 0.00 μB/cell
**Density of states at the Fermi level**: 2.73 states/eV/f.u.
**Volume**: 23.5 Å³/atom

Geometry as POSCAR:
```
MgTeIN2
1.0
4.048 0.000 0.000
0.000 4.048 0.000
0.000 0.000 7.181
Mg Te I N
1 1 1 2
Cartesian
0.000 0.000 0.000 Mg
2.024 2.024 0.000 Te
2.024 2.024 3.590 I
0.000 2.024 3.590 N
2.024 0.000 3.590 N
```

=====

Arrangement R

Density functional theory data (GGA-PBE) for crystalline MgTeIN2 at its relaxed geometry.

Values from the calculation:
**M_tot**: 4.29 μB/cell
**Density of states at the Fermi level**: 3.08 states/eV/f.u.
**Volume**: 24.6 Å³/atom

Geometry as POSCAR:
```
MgTeIN2
1.0
4.384 0.000 0.000
0.000 4.384 0.000
0.000 0.000 6.400
Mg Te I N
1 1 1 2
Cartesian
0.000 0.000 0.000 Mg
2.192 2.192 3.200 Te
0.000 0.000 3.200 I
0.000 2.192 0.000 N
2.192 0.000 0.000 N
```

=====

Computed stability ranking, most favorable first: arrangement P, arrangement R, arrangement Q

=====

Arrangement P

Density functional theory data (GGA-PBE) for crystalline MgTeI2N at its relaxed geometry.

Values from the calculation:
**M_tot**: 0.00 μB/cell
**Density of states at the Fermi level**: 7.81 states/eV/f.u.
**Volume**: 27.1 Å³/atom

Geometry as POSCAR:
```
MgTeI2N
1.0
5.866 0.000 0.000
0.000 5.866 0.000
0.000 0.000 3.933
Mg Te I N
1 1 2 1
Cartesian
0.000 0.000 0.000 Mg
2.933 2.933 1.966 Te
0.000 2.933 0.000 I
2.933 0.000 0.000 I
0.000 0.000 1.966 N
```

=====

Arrangement Q

Density functional theory data (GGA-PBE) for crystalline MgTeI2N at its relaxed geometry.

Values from the calculation:
**M_tot**: 3.20 μB/cell
**Density of states at the Fermi level**: 7.58 states/eV/f.u.
**Volume**: 37.2 Å³/atom

Geometry as POSCAR:
```
MgTeI2N
1.0
5.792 0.000 0.000
0.000 5.792 0.000
0.000 0.000 5.544
Mg Te I N
1 1 2 1
Cartesian
0.000 0.000 0.000 Mg
0.000 0.000 2.772 Te
0.000 2.896 0.000 I
2.896 0.000 0.000 I
2.896 2.896 2.772 N
```

=====

Arrangement R

Density functional theory data (GGA-PBE) for crystalline MgTeI2N at its relaxed geometry.

Values from the calculation:
**M_tot**: 0.00 μB/cell
**Density of states at the Fermi level**: 2.68 states/eV/f.u.
**Volume**: 31.8 Å³/atom

Geometry as POSCAR:
```
MgTeI2N
1.0
6.297 0.000 0.000
0.000 6.297 0.000
0.000 0.000 4.013
Mg Te I N
1 1 2 1
Cartesian
0.000 0.000 0.000 Mg
3.149 3.149 2.007 Te
0.000 3.149 2.007 I
3.149 0.000 2.007 I
3.149 3.149 0.000 N
```

=====

Arrangement S

Density functional theory data (GGA-PBE) for crystalline MgTeI2N at its relaxed geometry.

Values from the calculation:
**M_tot**: 0.00 μB/cell
**Density of states at the Fermi level**: 1.91 states/eV/f.u.
**Volume**: 25.0 Å³/atom

Geometry as POSCAR:
```
MgTeI2N
1.0
4.916 0.000 0.000
0.000 4.916 0.000
0.000 0.000 5.163
Mg Te I N
1 1 2 1
Cartesian
0.000 0.000 0.000 Mg
2.458 2.458 0.000 Te
0.000 2.458 2.581 I
2.458 0.000 2.581 I
2.458 2.458 2.581 N
```

=====

Computed stability ranking, most favorable first: arrangement R, arrangement P, arrangement S, arrangement Q

=====

Arrangement P

Density functional theory data (GGA-PBE) for crystalline MgTiIN2 at its relaxed geometry.

Values from the calculation:
**M_tot**: 0.04 μB/cell
**Density of states at the Fermi level**: 6.51 states/eV/f.u.
**Volume**: 17.4 Å³/atom

Geometry as POSCAR:
```
MgTiIN2
1.0
4.028 0.000 0.000
0.000 4.028 0.000
0.000 0.000 5.376
Mg Ti I N
1 1 1 2
Cartesian
0.000 0.000 0.000 Mg
2.014 2.014 2.688 Ti
0.000 0.000 2.688 I
0.000 2.014 0.000 N
2.014 0.000 0.000 N
```

=====

Arrangement Q

Density functional theory data (GGA-PBE) for crystalline MgTiIN2 at its relaxed geometry.

Values from the calculation:
**M_tot**: 0.50 μB/cell
**Density of states at the Fermi level**: 1.46 states/eV/f.u.
**Volume**: 18.1 Å³/atom

Geometry as POSCAR:
```
MgTiIN2
1.0
3.991 0.000 0.000
0.000 3.991 0.000
0.000 0.000 5.693
Mg Ti I N
1 1 1 2
Cartesian
0.000 0.000 0.000 Mg
1.995 1.995 2.847 Ti
1.995 1.995 0.000 I
0.000 1.995 2.847 N
1.995 0.000 2.847 N
```

=====

Computed stability ranking, most favorable first: arrangement Q, arrangement P

=====

Arrangement P

Density functional theory data (GGA-PBE) for crystalline MgTlIN2 at its relaxed geometry.

Values from the calculation:
**M_tot**: 4.00 μB/cell
**Density of states at the Fermi level**: 0.82 states/eV/f.u.
**Volume**: 25.2 Å³/atom

Geometry as POSCAR:
```
MgTlIN2
1.0
4.577 0.000 0.000
0.000 4.577 0.000
0.000 0.000 6.013
Mg Tl I N
1 1 1 2
Cartesian
0.000 0.000 0.000 Mg
2.288 2.288 3.006 Tl
0.000 0.000 3.006 I
0.000 2.288 0.000 N
2.288 0.000 0.000 N
```

=====

Arrangement Q

Density functional theory data (GGA-PBE) for crystalline MgTlIN2 at its relaxed geometry.

Values from the calculation:
**M_tot**: 2.49 μB/cell
**Density of states at the Fermi level**: 3.86 states/eV/f.u.
**Volume**: 25.8 Å³/atom

Geometry as POSCAR:
```
MgTlIN2
1.0
4.382 0.000 0.000
0.000 4.382 0.000
0.000 0.000 6.724
Mg Tl I N
1 1 1 2
Cartesian
0.000 0.000 0.000 Mg
2.191 2.191 3.362 Tl
2.191 2.191 0.000 I
0.000 2.191 3.362 N
2.191 0.000 3.362 N
```

=====

Computed stability ranking, most favorable first: arrangement P, arrangement Q

=====

Arrangement P

Density functional theory data (GGA-PBE) for crystalline MgVI2N at its relaxed geometry.

Values from the calculation:
**M_tot**: 1.24 μB/cell
**Density of states at the Fermi level**: 2.42 states/eV/f.u.
**Volume**: 23.8 Å³/atom

Geometry as POSCAR:
```
MgVI2N
1.0
5.656 0.000 0.000
0.000 5.656 0.000
0.000 0.000 3.717
Mg V I N
1 1 2 1
Cartesian
0.000 0.000 0.000 Mg
2.828 2.828 1.858 V
0.000 2.828 1.858 I
2.828 0.000 1.858 I
2.828 2.828 0.000 N
```

=====

Arrangement Q

Density functional theory data (GGA-PBE) for crystalline MgVI2N at its relaxed geometry.

Values from the calculation:
**M_tot**: 2.00 μB/cell
**Density of states at the Fermi level**: 3.68 states/eV/f.u.
**Volume**: 26.1 Å³/atom

Geometry as POSCAR:
```
MgVI2N
1.0
5.719 0.000 0.000
0.000 5.719 0.000
0.000 0.000 3.990
Mg V I N
1 1 2 1
Cartesian
0.000 0.000 0.000 Mg
2.860 2.860 1.995 V
0.000 2.860 0.000 I
2.860 0.000 0.000 I
0.000 0.000 1.995 N
```

=====

Computed stability ranking, most favorable first: arrangement P, arrangement Q